[1]
Here is crystalline Pm2Al9Ni3 at its relaxed geometry from Alexandria. Energies are from PBE.

Calculated values
The calculation puts the formation energy at -553 meV per atom.

a b c (Å): 7.5223 7.5223 10.3917
angles (deg): 89.89 111.13 120.31
Closest atoms and distances in Å follow each position.
Element x y z (fractional)
Pm 0.3354 0.2465 0.7500  11 Al 3.00-3.14
Pm 0.6646 0.7535 0.2500  11 Al 3.00-3.14
Pm 0.0034 0.4146 0.2500  11 Al 3.00-3.14
Pm 0.9966 0.5854 0.7500  11 Al 3.00-3.14
Al 0.8799 0.1299 0.7500  2 Ni 2.54, 4 Al 2.73-2.79
Al 0.1370 0.9857 0.9533  3 Ni 2.54-2.58, 3 Al 2.67-2.72
Al 0.3292 0.2900 0.2477  2 Ni 2.53-2.56, 5 Al 2.73-2.81
Al 0.7890 0.3091 0.9329  3 Ni 2.57-2.58, 5 Al 2.72-2.82
Al 0.1201 0.8701 0.2500  2 Ni 2.54, 4 Al 2.73-2.79
Al 0.1238 0.1439 0.4329  3 Ni 2.57-2.58, 5 Al 2.72-2.82
Al 0.5467 0.3563 0.0688  3 Ni 2.54-2.59, 5 Al 2.72-2.83
Al 0.8630 0.0143 0.0467  3 Ni 2.54-2.58, 3 Al 2.67-2.72
Al 0.2110 0.6909 0.0671  3 Ni 2.57-2.58, 5 Al 2.72-2.82
Al 0.2125 0.5221 0.5688  3 Ni 2.54-2.59, 5 Al 2.72-2.83
Al 0.4577 0.9185 0.7477  2 Ni 2.53-2.56, 5 Al 2.73-2.81
Al 0.5423 0.0815 0.2523  2 Ni 2.53-2.56, 5 Al 2.73-2.81
Al 0.4533 0.6437 0.9312  3 Ni 2.54-2.59, 5 Al 2.72-2.83
Al 0.5324 0.1837 0.5467  3 Ni 2.54-2.58, 3 Al 2.67-2.72
Al 0.7875 0.4779 0.4312  3 Ni 2.54-2.59, 5 Al 2.72-2.83
Al 0.6708 0.7100 0.7523  2 Ni 2.53-2.56, 5 Al 2.73-2.81
Al 0.4676 0.8163 0.4533  3 Ni 2.54-2.58, 3 Al 2.67-2.72
Al 0.8762 0.8561 0.5671  3 Ni 2.57-2.58, 5 Al 2.72-2.82
Ni 0.5000 0.0000 0.0000  8 Al 2.54-2.59
Ni 0.8385 0.1701 0.4995  8 Al 2.53-2.59
Ni 0.5000 0.5000 0.5000  8 Al 2.54-2.59
Ni 0.8294 0.6610 0.9995  8 Al 2.53-2.59
Ni 0.1615 0.8299 0.5005  8 Al 2.53-2.59
Ni 0.1706 0.3390 0.0005  8 Al 2.53-2.59

[2]
Here is crystalline Pm2AlNi16 at its relaxed geometry from Alexandria. Energies are from PBE.

Calculated values
The calculation puts the formation energy at -252 meV per atom.

a b c (Å): 6.3094 6.3094 6.3094
angles (deg): 82.81 82.81 82.81
Closest atoms and distances in Å follow each position.
Element x y z (fractional)
Pm 0.6534 0.6534 0.6534  18 Ni 2.96-3.24, 1 Al 3.14
Pm 0.3404 0.3404 0.3404  19 Ni 2.92-3.23
Ni 0.8466 0.3425 0.3425  9 Ni 2.41-2.57
Ni 0.3425 0.8466 0.3425  9 Ni 2.41-2.57
Ni 0.9979 0.9979 0.5017  9 Ni 2.39-2.55, 1 Al 2.57
Ni 0.2939 0.7061 0.0000  8 Ni 2.39-2.57
Ni 0.1513 0.6573 0.6573  8 Ni 2.39-2.56, 1 Al 2.61
Ni 0.7061 0.2939 0.0000  8 Ni 2.39-2.57
Ni 0.5017 0.9979 0.9979  9 Ni 2.39-2.55, 1 Al 2.57
Ni 0.7061 0.0000 0.2939  8 Ni 2.39-2.57
Ni 0.1011 0.1011 0.1011  1 Al 2.33, 6 Ni 2.55-2.56
Ni 0.3425 0.3425 0.8466  9 Ni 2.41-2.57
Ni 0.9979 0.5017 0.9979  9 Ni 2.39-2.55, 1 Al 2.57
Ni 0.6573 0.1513 0.6573  8 Ni 2.39-2.56, 1 Al 2.61
Ni 0.6573 0.6573 0.1513  8 Ni 2.39-2.56, 1 Al 2.61
Ni 0.0000 0.7061 0.2939  8 Ni 2.39-2.57
Ni 0.2939 0.0000 0.7061  8 Ni 2.39-2.57
Ni 0.0000 0.2939 0.7061  8 Ni 2.39-2.57
Al 0.9103 0.9103 0.9103  4 Ni 2.33-2.57

[3]
Here is crystalline PmAl5Ni2 at its relaxed geometry from Alexandria. Energies are from PBE.

Calculated values
The calculation puts the formation energy at -587 meV per atom.

a b c (Å): 3.9733 6.2796 6.2796
angles (deg): 68.22 71.56 71.56
Closest atoms and distances in Å follow each position.
Element x y z (fractional)
Ni 0.7606 0.7394 0.7394  7 Al 2.30-2.52
Ni 0.2394 0.2606 0.2606  7 Al 2.30-2.52
Pm 0.0000 0.0000 0.0000  4 Ni 3.20, 14 Al 3.32-3.55
Al 0.6577 0.1523 0.5324  3 Ni 2.40-2.52, 1 Al 2.68
Al 0.3423 0.8477 0.4676  3 Ni 2.40-2.52, 1 Al 2.68
Al 0.6577 0.5324 0.1523  3 Ni 2.40-2.52, 1 Al 2.68
Al 0.0000 0.5000 0.5000  2 Ni 2.30
Al 0.3423 0.4676 0.8477  3 Ni 2.40-2.52, 1 Al 2.68

[4]
Here is crystalline Pm2Al8Ni at its relaxed geometry from Alexandria. Energies are from PBE.

Calculated values
The calculation puts the formation energy at -424 meV per atom.

a b c (Å): 4.2872 4.2872 11.2763
angles (deg): 90.00 90.00 90.00
Closest atoms and distances in Å follow each position.
Element x y z (fractional)
Pm 0.0000 0.0000 0.6930  12 Al 3.03-3.05
Pm 0.0000 0.0000 0.3070  12 Al 3.03-3.05
Al 0.0000 0.5000 0.5000  8 Al 3.03-3.10, 4 Pm 3.05
Al 0.5000 0.5000 0.3014  8 Al 2.98-3.10, 4 Pm 3.03
Al 0.5000 0.0000 0.8827  2 Ni 2.52, 1 Al 2.65
Al 0.0000 0.5000 0.1173  2 Ni 2.52, 1 Al 2.65
Al 0.5000 0.0000 0.1173  2 Ni 2.52, 1 Al 2.65
Al 0.0000 0.5000 0.8827  2 Ni 2.52, 1 Al 2.65
Al 0.5000 0.5000 0.6986  8 Al 2.98-3.10, 4 Pm 3.03
Al 0.5000 0.0000 0.5000  8 Al 3.03-3.10, 4 Pm 3.05
Ni 0.0000 0.0000 0.0000  8 Al 2.52

Number 1 is which compound?
Pm2Al9Ni3